## KHfZn3 (GGA-PBE)

Data for KHfZn3 after structural relaxation.

a b c (Å): 5.382 5.382 5.382
angles (deg): 90.00 90.00 90.00
Space group Pm-3m (No. 221)
One atom of each set of equivalent atoms:
1 K 0.000 0.000 0.000 (multiplicity 1)
2 Hf 0.500 0.500 0.500 (multiplicity 1)
3 Zn 0.000 0.500 0.500 (multiplicity 3)

Electronic total energy ... -2.3985 eV/atom
ρ ... 4.41 g cm⁻³
ΔE_f ... 2.9 eV per formula unit